Record 1
A plane-wave DFT calculation with GGA-PBEsol was carried out for an optimized crystal structure of ZrFe4Re.

abc: 4.730 4.730 4.730
angles: 60.00 60.00 60.00
Element x y z (fractional)
Zr: 0.000 0.000 0.000
Fe: 0.375 0.375 0.375
Fe: 0.375 0.375 0.874
Fe: 0.375 0.874 0.375
Fe: 0.874 0.375 0.375
Re: 0.750 0.750 0.750

Record 2
A plane-wave DFT calculation with GGA-PBEsol was carried out for an optimized crystal structure of FeRh3.

abc: 4.557 4.557 2.659
angles: 90.00 90.00 108.79
Element x y z (fractional)
Fe: 0.000 0.000 0.000
Rh: 0.000 0.500 0.500
Rh: 0.500 0.000 0.500
Rh: 0.500 0.500 0.000

Record 3
A plane-wave DFT calculation with GGA-PBEsol was carried out for an optimized crystal structure of FeRh.

abc: 2.627 5.211 5.754
angles: 103.31 103.19 90.02
Element x y z (fractional)
Fe: 0.000 0.000 0.000
Fe: 0.333 0.165 0.668
Fe: 0.667 0.835 0.332
Rh: 0.000 0.500 0.000
Rh: 0.334 0.680 0.667
Rh: 0.666 0.320 0.333

Record 4
A plane-wave DFT calculation with GGA-PBEsol was carried out for an optimized crystal structure of Fe5Rh.

abc: 4.041 4.041 4.965
angles: 90.00 90.00 120.00
Element x y z (fractional)
Fe: 0.000 0.000 0.000
Fe: 0.333 0.667 0.323
Fe: 0.333 0.667 0.836
Fe: 0.667 0.333 0.164
Fe: 0.667 0.333 0.677
Rh: 0.000 0.000 0.500

Record 5
A plane-wave DFT calculation with GGA-PBEsol was carried out for an optimized crystal structure of Fe3Rh.

abc: 4.090 4.090 4.090
angles: 60.00 60.00 60.00
Element x y z (fractional)
Fe: 0.000 0.000 0.000
Fe: 0.250 0.250 0.250
Fe: 0.750 0.750 0.750
Rh: 0.500 0.500 0.500

Record 6
A plane-wave DFT calculation with GGA-PBEsol was carried out for an optimized crystal structure of FeRh.

abc: 2.611 3.743 7.656
angles: 90.00 95.83 90.00
Element x y z (fractional)
Fe: 0.000 0.000 0.000
Fe: 0.416 0.500 0.155
Fe: 0.584 0.500 0.845
Rh: 0.059 0.000 0.680
Rh: 0.500 0.500 0.500
Rh: 0.941 0.000 0.320

Record 7
A plane-wave DFT calculation with GGA-PBEsol was carried out for an optimized crystal structure of Fe4Rh5.

abc: 5.831 5.831 5.831
angles: 95.90 95.90 142.60
Element x y z (fractional)
Fe: 0.000 0.335 0.335
Fe: 0.000 0.665 0.665
Fe: 0.335 0.000 0.335
Fe: 0.665 0.000 0.665
Rh: 0.000 0.000 0.000
Rh: 0.332 0.332 0.664
Rh: 0.332 0.668 0.000
Rh: 0.668 0.332 0.000
Rh: 0.668 0.668 0.336

Record 8
A plane-wave DFT calculation with GGA-PBEsol was carried out for an optimized crystal structure of FeRh3.

abc: 5.313 5.313 4.247
angles: 90.00 90.00 120.00
Element x y z (fractional)
Fe: 0.333 0.667 0.250
Fe: 0.667 0.333 0.750
Rh: 0.168 0.337 0.750
Rh: 0.168 0.832 0.750
Rh: 0.337 0.168 0.250
Rh: 0.663 0.832 0.750
Rh: 0.832 0.168 0.250
Rh: 0.832 0.663 0.250

Record 9
A plane-wave DFT calculation with GGA-PBEsol was carried out for an optimized crystal structure of FeRh.

abc: 2.603 4.984 6.169
angles: 78.18 79.45 75.89
Element x y z (fractional)
Fe: 0.000 0.000 0.000
Fe: 0.148 0.478 0.994
Fe: 0.543 0.174 0.312
Rh: 0.404 0.688 0.322
Rh: 0.658 0.841 0.684
Rh: 0.915 0.327 0.643

Record 10
A plane-wave DFT calculation with GGA-PBEsol was carried out for an optimized crystal structure of Fe3Rh.

abc: 2.556 4.027 4.762
angles: 90.00 100.62 90.00
Element x y z (fractional)
Fe: 0.000 0.000 0.000
Fe: 0.234 0.500 0.759
Fe: 0.766 0.500 0.241
Rh: 0.500 0.000 0.500

Record 11
A plane-wave DFT calculation with GGA-PBEsol was carried out for an optimized crystal structure of Fe4Rh.

abc: 10.232 10.116 2.514
angles: 85.52 80.30 14.18
Element x y z (fractional)
Fe: 0.105 0.105 0.895
Fe: 0.298 0.298 0.702
Fe: 0.702 0.702 0.298
Fe: 0.895 0.895 0.105
Rh: 0.500 0.500 0.500

Record 12
A plane-wave DFT calculation with GGA-PBEsol was carried out for an optimized crystal structure of Fe4Rh.

abc: 4.762 4.762 4.762
angles: 95.10 95.10 145.32
Element x y z (fractional)
Fe: 0.105 0.692 0.796
Fe: 0.308 0.105 0.413
Fe: 0.692 0.895 0.587
Fe: 0.895 0.308 0.204
Rh: 0.500 0.500 0.000

no.,energy relative to the elements (eV per atom)
1,-0.084
2,0.011
3,0.062
4,0.046
5,0.047
6,0.057
7,0.058
8,-0.012
9,0.096
10,0.080
11,0.113
12,0.032